Entry 1:
{
  "formula": "Ce3Dy5S8",
  "functional": "PBE",
  "state": "optimized geometry",
  "lattice_angstrom": [[3.941, 2.275, 6.474], [-3.941, 2.275, 6.474], [0.000, -4.550, 6.474]],
  "species": ["Ce", "Ce", "Ce", "Dy", "Dy", "Dy", "Dy", "Dy", "S", "S", "S", "S", "S", "S", "S", "S"],
  "fractional_positions": [[0.000, 0.500, 0.500], [0.500, 0.000, 0.500], [0.500, 0.500, 0.000], [0.000, 0.000, 0.000], [0.000, 0.000, 0.500], [0.000, 0.500, 0.000], [0.500, 0.000, 0.000], [0.500, 0.500, 0.500], [0.243, 0.750, 0.750], [0.246, 0.246, 0.246], [0.250, 0.250, 0.757], [0.250, 0.757, 0.250], [0.750, 0.243, 0.750], [0.750, 0.750, 0.243], [0.754, 0.754, 0.754], [0.757, 0.250, 0.250]],
  "density_g_cm3": 7.1,
  "total_energy_ev_per_atom": -6.64,
  "formation_energy_uncorrected_ev_per_atom": -2.02
}

Entry 2:
{
  "formula": "SbPI2Cl",
  "functional": "PBE",
  "state": "optimized geometry",
  "lattice_angstrom": [[5.397, 0.000, 0.000], [0.000, 5.397, 0.000], [0.000, 0.000, 5.434]],
  "species": ["Sb", "P", "I", "I", "Cl"],
  "fractional_positions": [[0.000, 0.000, 0.000], [0.000, 0.000, 0.500], [0.000, 0.500, 0.500], [0.500, 0.000, 0.500], [0.500, 0.500, 0.000]],
  "density_g_cm3": 4.6,
  "total_energy_ev_per_atom": -2.54,
  "relative_energy_mev_per_atom": 0,
  "formation_energy_uncorrected_ev_per_atom": 0.35
}

Entry 3:
{
  "formula": "ZrTi2Pt9",
  "functional": "PBE",
  "state": "optimized geometry",
  "lattice_angstrom": [[3.987, 0.000, 0.000], [0.000, 3.987, 0.000], [0.000, 0.000, 11.939]],
  "species": ["Zr", "Ti", "Ti", "Pt", "Pt", "Pt", "Pt", "Pt", "Pt", "Pt", "Pt", "Pt"],
  "fractional_positions": [[0.000, 0.000, 0.000], [0.000, 0.000, 0.336], [0.000, 0.000, 0.664], [0.000, 0.500, 0.173], [0.000, 0.500, 0.500], [0.000, 0.500, 0.827], [0.500, 0.000, 0.173], [0.500, 0.000, 0.500], [0.500, 0.000, 0.827], [0.500, 0.500, 0.000], [0.500, 0.500, 0.337], [0.500, 0.500, 0.663]],
  "density_g_cm3": 17.0,
  "total_energy_ev_per_atom": -7.47,
  "formation_enthalpy_0k_ev_per_atom": -0.92
}

Entry 4:
{
  "formula": "Tm6Tc2Bi",
  "functional": "PBE",
  "state": "optimized geometry",
  "lattice_angstrom": [[-4.702, 4.796, 5.201], [4.702, -4.796, 5.201], [4.702, 4.796, -5.201]],
  "species": ["Tm", "Tm", "Tm", "Tm", "Tm", "Tm", "Tm", "Tm", "Tm", "Tm", "Tm", "Tm", "Tc", "Tc", "Tc", "Tc", "Bi", "Bi"],
  "fractional_positions": [[0.027, 0.244, 0.783], [0.185, 0.281, 0.467], [0.185, 0.719, 0.904], [0.334, 0.018, 0.684], [0.334, 0.650, 0.316], [0.461, 0.244, 0.217], [0.539, 0.756, 0.783], [0.666, 0.350, 0.684], [0.666, 0.982, 0.316], [0.815, 0.281, 0.096], [0.815, 0.719, 0.533], [0.973, 0.756, 0.217], [0.117, 0.617, 0.500], [0.333, 0.000, 0.333], [0.667, 0.000, 0.667], [0.883, 0.383, 0.500], [0.000, 0.000, 0.000], [0.500, 0.500, 0.000]],
  "density_g_cm3": 10.0,
  "total_energy_ev_per_atom": -5.99,
  "formation_enthalpy_0k_ev_per_atom": -0.27
}

Repeat the first record exactly.
{
  "formula": "Ce3Dy5S8",
  "functional": "PBE",
  "state": "optimized geometry",
  "lattice_angstrom": [[3.941, 2.275, 6.474], [-3.941, 2.275, 6.474], [0.000, -4.550, 6.474]],
  "species": ["Ce", "Ce", "Ce", "Dy", "Dy", "Dy", "Dy", "Dy", "S", "S", "S", "S", "S", "S", "S", "S"],
  "fractional_positions": [[0.000, 0.500, 0.500], [0.500, 0.000, 0.500], [0.500, 0.500, 0.000], [0.000, 0.000, 0.000], [0.000, 0.000, 0.500], [0.000, 0.500, 0.000], [0.500, 0.000, 0.000], [0.500, 0.500, 0.500], [0.243, 0.750, 0.750], [0.246, 0.246, 0.246], [0.250, 0.250, 0.757], [0.250, 0.757, 0.250], [0.750, 0.243, 0.750], [0.750, 0.750, 0.243], [0.754, 0.754, 0.754], [0.757, 0.250, 0.250]],
  "density_g_cm3": 7.1,
  "total_energy_ev_per_atom": -6.64,
  "formation_energy_uncorrected_ev_per_atom": -2.02
}